1.
PtN2Cl2 PBE relaxed; formation energy without anion corrections = -0.013 eV per atom
1.0
6.5809 0.0000 0.0000
0.0000 3.7956 0.0000
-0.7275 0.0000 10.1115
Pt N Cl
2 4 4
Direct
0.0000 0.0000 0.0000
0.5000 0.5000 0.0000
0.0421 0.0000 0.4543
0.4579 0.5000 0.5457
0.5421 0.5000 0.4543
0.9579 0.0000 0.5457
0.1518 0.5000 0.8703
0.3482 0.0000 0.1297
0.6518 0.0000 0.8703
0.8482 0.5000 0.1297

***

2.
PtNCl PBE relaxed; density of states at the Fermi level = 0.0 states/eV/cell; formation energy without anion corrections = -0.021 eV per atom
1.0
8.1858 0.0000 0.0000
0.0000 3.2326 0.0000
-2.3999 0.0000 10.4644
Pt N Cl
4 4 4
Direct
0.0499 0.0000 0.1747
0.4501 0.5000 0.8253
0.5499 0.5000 0.1747
0.9501 0.0000 0.8253
0.0171 0.5000 0.0595
0.4829 0.0000 0.9405
0.5171 0.0000 0.0595
0.9829 0.5000 0.9405
0.0956 0.5000 0.3365
0.4044 0.0000 0.6635
0.5956 0.0000 0.3365
0.9044 0.5000 0.6635

***

3.
PtN4Cl4 PBE relaxed; density of states at the Fermi level = 3.5 states/eV/cell; formation energy without anion corrections = 1.599 eV per atom
1.0
-2.9835 2.9835 4.8279
2.9835 -2.9835 4.8279
2.9835 2.9835 -4.8279
Pt N Cl
1 4 4
Direct
0.0000 0.0000 0.0000
0.2313 0.2313 0.4627
0.2313 0.7687 0.0000
0.7687 0.2313 0.0000
0.7687 0.7687 0.5373
0.0000 0.5000 0.5000
0.2477 0.2477 0.0000
0.5000 0.0000 0.5000
0.7523 0.7523 0.0000

***

4.
PtN3Cl PBE relaxed; density of states at the Fermi level = 3.7 states/eV/cell; formation energy without anion corrections = 2.991 eV per atom
1.0
3.7457 0.0000 0.0000
0.0000 3.7457 0.0000
0.0000 0.0000 3.7457
Pt N Cl
1 3 1
Direct
0.0000 0.0000 0.0000
0.0000 0.5000 0.5000
0.5000 0.0000 0.5000
0.5000 0.5000 0.0000
0.5000 0.5000 0.5000